1.
Material: Mn2SiMo
Method: DFT, GGA-PBE
State: relaxed Values from VASP.

Structure (Quantum ESPRESSO input):
```
&SYSTEM
  ibrav = 0, nat = 4, ntyp = 3
/
ATOMIC_SPECIES
Mn 54.94 Mn.upf
Si 28.09 Si.upf
Mo 95.94 Mo.upf
CELL_PARAMETERS angstrom
-1.509 1.968 4.121
1.509 -1.968 4.121
1.509 1.968 -4.121
ATOMIC_POSITIONS crystal
Mn 0.000 0.000 0.000
Mn 0.746 0.246 0.500
Si 0.509 0.509 0.000
Mo 0.250 0.750 0.500
```

Calculated values
Formation energy without anion corrections in eV per atom: -0.192
Electronic total energy in Ry/atom: -0.6498
Density of states at the Fermi level in states/eV/cell: 2.99

---

2.
Material: Pr5Dy2Y12
Method: DFT, GGA-PBE
State: relaxed Values from VASP.

Structure (Quantum ESPRESSO input):
```
&SYSTEM
  ibrav = 0, nat = 19, ntyp = 3
/
ATOMIC_SPECIES
Pr 140.91 Pr.upf
Dy 162.50 Dy.upf
Y 88.91 Y.upf
CELL_PARAMETERS angstrom
6.837 0.000 0.000
1.823 6.815 0.000
2.749 -0.524 13.812
ATOMIC_POSITIONS crystal
Pr 0.000 0.000 0.000
Pr 0.267 0.933 0.490
Pr 0.425 0.898 0.112
Pr 0.575 0.102 0.888
Pr 0.733 0.067 0.510
Dy 0.262 0.437 0.485
Dy 0.738 0.563 0.515
Y 0.040 0.733 0.297
Y 0.063 0.240 0.302
Y 0.132 0.495 0.893
Y 0.384 0.889 0.725
Y 0.394 0.405 0.107
Y 0.439 0.387 0.693
Y 0.561 0.613 0.307
Y 0.606 0.595 0.893
Y 0.616 0.111 0.275
Y 0.868 0.505 0.107
Y 0.937 0.760 0.698
Y 0.960 0.267 0.703
```

Calculated values
E above lowest polymorph in meV per atom: 0
Electronic total energy in Ry/atom: -0.4202
Density of states at the Fermi level in states/eV/cell: 29.79
Energy of formation in eV per formula unit: 2.04

---

3.
Material: TlInPb2Se4
Method: DFT, GGA-PBE
State: relaxed Values from VASP.

Structure (Quantum ESPRESSO input):
```
&SYSTEM
  ibrav = 0, nat = 16, ntyp = 4
/
ATOMIC_SPECIES
Tl 204.38 Tl.upf
In 114.82 In.upf
Pb 207.20 Pb.upf
Se 78.96 Se.upf
CELL_PARAMETERS angstrom
2.153 -7.594 0.000
2.153 7.594 0.000
0.000 0.000 15.504
ATOMIC_POSITIONS crystal
Tl 0.125 0.875 0.750
Tl 0.875 0.125 0.250
In 0.159 0.841 0.250
In 0.841 0.159 0.750
Pb 0.373 0.627 0.547
Pb 0.373 0.627 0.953
Pb 0.627 0.373 0.047
Pb 0.627 0.373 0.453
Se 0.000 0.000 0.000
Se 0.000 0.000 0.500
Se 0.265 0.735 0.119
Se 0.265 0.735 0.381
Se 0.444 0.556 0.750
Se 0.556 0.444 0.250
Se 0.735 0.265 0.619
Se 0.735 0.265 0.881
```

Calculated values
Formation energy without anion corrections in eV per atom: -0.477
Electronic total energy in Ry/atom: -0.2782

---

4.
Material: FeRe3Ru
Method: DFT, GGA-PBE
State: relaxed Values from VASP.

Structure (Quantum ESPRESSO input):
```
&SYSTEM
  ibrav = 0, nat = 5, ntyp = 3
/
ATOMIC_SPECIES
Fe 55.84 Fe.upf
Re 186.21 Re.upf
Ru 101.07 Ru.upf
CELL_PARAMETERS angstrom
4.356 0.000 0.000
0.000 4.356 0.000
0.000 0.000 4.356
ATOMIC_POSITIONS crystal
Fe 0.000 0.000 0.000
Re 0.000 0.000 0.500
Re 0.000 0.500 0.000
Re 0.500 0.000 0.000
Ru 0.500 0.500 0.500
```

Calculated values
E above lowest polymorph in meV per atom: 1526
Electronic total energy in Ry/atom: -0.6916
Density of states at the Fermi level in states/eV/cell: 8.73
Energy of formation in eV per formula unit: 8.03

---

5.
Material: Cs3Cd5F12
Method: DFT, GGA-PBE
State: relaxed Values from VASP.

Structure (Quantum ESPRESSO input):
```
&SYSTEM
  ibrav = 0, nat = 80, ntyp = 3
/
ATOMIC_SPECIES
Cs 132.91 Cs.upf
Cd 112.41 Cd.upf
F 19.00 F.upf
CELL_PARAMETERS angstrom
-7.527 7.527 7.527
7.527 -7.527 7.527
7.527 7.527 -7.527
ATOMIC_POSITIONS crystal
Cs 0.125 0.250 0.375
Cs 0.125 0.375 0.750
Cs 0.250 0.375 0.125
Cs 0.250 0.875 0.625
Cs 0.375 0.125 0.250
Cs 0.375 0.750 0.125
Cs 0.625 0.250 0.875
Cs 0.625 0.875 0.750
Cs 0.750 0.125 0.375
Cs 0.750 0.625 0.875
Cs 0.875 0.625 0.250
Cs 0.875 0.750 0.625
Cd 0.000 0.000 0.000
Cd 0.000 0.000 0.500
Cd 0.000 0.500 0.000
Cd 0.000 0.500 0.500
Cd 0.125 0.750 0.875
Cd 0.125 0.875 0.250
Cd 0.250 0.125 0.875
Cd 0.250 0.625 0.375
Cd 0.375 0.250 0.625
Cd 0.375 0.625 0.750
Cd 0.500 0.000 0.000
Cd 0.500 0.000 0.500
Cd 0.500 0.500 0.000
Cd 0.500 0.500 0.500
Cd 0.625 0.375 0.250
Cd 0.625 0.750 0.375
Cd 0.750 0.375 0.625
Cd 0.750 0.875 0.125
Cd 0.875 0.125 0.750
Cd 0.875 0.250 0.125
F 0.009 0.187 0.107
F 0.009 0.322 0.902
F 0.081 0.687 0.678
F 0.081 0.893 0.402
F 0.098 0.607 0.419
F 0.098 0.991 0.678
F 0.107 0.009 0.187
F 0.107 0.598 0.919
F 0.178 0.187 0.581
F 0.178 0.491 0.598
F 0.187 0.107 0.009
F 0.187 0.581 0.178
F 0.313 0.322 0.919
F 0.313 0.491 0.393
F 0.322 0.902 0.009
F 0.322 0.919 0.313
F 0.393 0.313 0.491
F 0.393 0.581 0.902
F 0.402 0.081 0.893
F 0.402 0.822 0.509
F 0.419 0.098 0.607
F 0.419 0.822 0.813
F 0.491 0.393 0.313
F 0.491 0.598 0.178
F 0.509 0.402 0.822
F 0.509 0.607 0.687
F 0.581 0.178 0.187
F 0.581 0.902 0.393
F 0.598 0.178 0.491
F 0.598 0.919 0.107
F 0.607 0.419 0.098
F 0.607 0.687 0.509
F 0.678 0.081 0.687
F 0.678 0.098 0.991
F 0.687 0.509 0.607
F 0.687 0.678 0.081
F 0.813 0.419 0.822
F 0.813 0.893 0.991
F 0.822 0.509 0.402
F 0.822 0.813 0.419
F 0.893 0.402 0.081
F 0.893 0.991 0.813
F 0.902 0.009 0.322
F 0.902 0.393 0.581
F 0.919 0.107 0.598
F 0.919 0.313 0.322
F 0.991 0.678 0.098
F 0.991 0.813 0.893
```

Calculated values
Formation energy without anion corrections in eV per atom: -2.247
Electronic total energy in Ry/atom: -0.2739
Density of states at the Fermi level in states/eV/cell: 4.94

---

6.
Material: Y3HgRh8
Method: DFT, GGA-PBE
State: relaxed Values from VASP.

Structure (Quantum ESPRESSO input):
```
&SYSTEM
  ibrav = 0, nat = 12, ntyp = 3
/
ATOMIC_SPECIES
Y 88.91 Y.upf
Hg 200.59 Hg.upf
Rh 102.91 Rh.upf
CELL_PARAMETERS angstrom
5.314 0.000 0.000
-2.657 4.602 0.000
0.000 0.000 8.699
ATOMIC_POSITIONS crystal
Y 0.000 0.000 0.000
Y 0.000 0.000 0.379
Y 0.333 0.667 0.844
Hg 0.333 0.667 0.482
Rh 0.006 0.503 0.179
Rh 0.331 0.165 0.681
Rh 0.497 0.503 0.179
Rh 0.497 0.994 0.179
Rh 0.667 0.333 0.432
Rh 0.667 0.333 0.934
Rh 0.835 0.165 0.681
Rh 0.835 0.669 0.681
```

Calculated values
Electronic total energy in Ry/atom: -0.5220
Density of states at the Fermi level in states/eV/cell: 8.66
Energy of formation in eV per formula unit: -6.72